{"formula": "CaY12Er5", "functional": "PBE-GGA", "state": "relaxed", "cell": [[7.573, -7.591, 0.000], [7.573, 7.591, 0.000], [0.000, 0.000, 5.044]], "species": ["Ca", "Y", "Y", "Y", "Y", "Y", "Y", "Y", "Y", "Y", "Y", "Y", "Y", "Er", "Er", "Er", "Er", "Er"], "frac_coords": [[0.000, 0.000, 0.000], [0.002, 0.663, 0.000], [0.167, 0.501, 0.500], [0.172, 0.172, 0.500], [0.335, 0.335, 0.000], [0.337, 0.998, 0.000], [0.499, 0.833, 0.500], [0.501, 0.167, 0.500], [0.663, 0.002, 0.000], [0.665, 0.665, 0.000], [0.828, 0.828, 0.500], [0.833, 0.499, 0.500], [0.998, 0.337, 0.000], [0.174, 0.826, 0.500], [0.334, 0.666, 0.000], [0.500, 0.500, 0.500], [0.666, 0.334, 0.000], [0.826, 0.174, 0.500]], "m_tot_mub_per_cell": 0.00, "sg": "No. 65", "dos_ef_per_ev_atom": 1.536, "delta_e_f_ev_per_atom": 0.05}

{"formula": "CaYEr", "functional": "PBE-GGA", "state": "relaxed", "cell": [[3.886, 0.000, 0.000], [-0.001, 5.824, 0.000], [-0.030, -2.911, 9.145]], "species": ["Ca", "Ca", "Y", "Y", "Er", "Er"], "frac_coords": [[0.250, 0.246, 0.491], [0.750, 0.754, 0.509], [0.251, 0.579, 0.154], [0.749, 0.421, 0.846], [0.249, 0.925, 0.853], [0.751, 0.075, 0.147]], "m_tot_mub_per_cell": 0.00, "sg": "No. 2", "dos_ef_per_ev_atom": 1.977, "delta_e_f_ev_per_atom": 0.12}

{"formula": "CaYEr2", "functional": "PBE-GGA", "state": "relaxed", "cell": [[5.075, 0.000, 0.000], [0.000, 5.075, 0.000], [0.000, 0.000, 5.103]], "species": ["Ca", "Y", "Er", "Er"], "frac_coords": [[0.000, 0.000, 0.000], [0.500, 0.500, 0.000], [0.000, 0.500, 0.500], [0.500, 0.000, 0.500]], "m_tot_mub_per_cell": 0.00, "sg": "No. 123", "dos_ef_per_ev_atom": 1.835, "delta_e_f_ev_per_atom": 0.15}

{"formula": "CaYEr2", "functional": "PBE-GGA", "state": "relaxed", "cell": [[1.790, 1.033, 12.020], [-1.790, 1.033, 12.020], [0.000, -2.067, 12.020]], "species": ["Ca", "Y", "Er", "Er"], "frac_coords": [[0.000, 0.000, 0.000], [0.500, 0.500, 0.500], [0.245, 0.245, 0.245], [0.755, 0.755, 0.755]], "m_tot_mub_per_cell": 0.00, "sg": "No. 166", "dos_ef_per_ev_atom": 1.624, "delta_e_f_ev_per_atom": 0.08}

{"formula": "CaYEr2", "functional": "PBE-GGA", "state": "relaxed", "cell": [[3.597, 0.000, 0.000], [0.000, 3.597, 0.000], [0.000, 0.000, 10.359]], "species": ["Ca", "Y", "Er", "Er"], "frac_coords": [[0.000, 0.000, 0.000], [0.000, 0.000, 0.500], [0.500, 0.500, 0.269], [0.500, 0.500, 0.731]], "m_tot_mub_per_cell": 0.00, "sg": "No. 123", "dos_ef_per_ev_atom": 1.463, "delta_e_f_ev_per_atom": 0.08}

{"formula": "Ca3ErZn4", "functional": "PBE-GGA", "state": "relaxed", "cell": [[3.636, 0.000, 0.000], [0.000, 3.636, 0.000], [0.000, 0.000, 14.582]], "species": ["Ca", "Ca", "Ca", "Er", "Zn", "Zn", "Zn", "Zn"], "frac_coords": [[0.000, 0.000, 0.000], [0.000, 0.000, 0.255], [0.000, 0.000, 0.745], [0.000, 0.000, 0.500], [0.500, 0.500, 0.127], [0.500, 0.500, 0.388], [0.500, 0.500, 0.612], [0.500, 0.500, 0.873]], "m_tot_mub_per_cell": 0.00, "sg": "No. 123", "dos_ef_per_ev_atom": 0.757, "delta_e_f_ev_per_atom": -0.27}

{"formula": "CaEr2Zn3", "functional": "PBE-GGA", "state": "relaxed", "cell": [[3.562, 0.000, 0.000], [0.000, 3.562, 0.000], [0.000, 0.000, 10.860]], "species": ["Ca", "Er", "Er", "Zn", "Zn", "Zn"], "frac_coords": [[0.000, 0.000, 0.000], [0.000, 0.000, 0.339], [0.000, 0.000, 0.661], [0.500, 0.500, 0.182], [0.500, 0.500, 0.500], [0.500, 0.500, 0.818]], "m_tot_mub_per_cell": 0.00, "sg": "No. 123", "dos_ef_per_ev_atom": 0.799, "delta_e_f_ev_per_atom": -0.32}

{"formula": "CaErZn", "functional": "PBE-GGA", "state": "relaxed", "cell": [[4.789, 0.000, 0.000], [0.000, 4.789, 0.000], [0.000, 0.000, 7.611]], "species": ["Ca", "Ca", "Er", "Er", "Zn", "Zn"], "frac_coords": [[0.250, 0.250, 0.135], [0.750, 0.750, 0.865], [0.250, 0.750, 0.500], [0.750, 0.250, 0.500], [0.250, 0.250, 0.729], [0.750, 0.750, 0.271]], "m_tot_mub_per_cell": 0.00, "sg": "No. 129", "dos_ef_per_ev_atom": 1.068, "delta_e_f_ev_per_atom": -0.12}

Number 1: calculated total energy -5.643 eV per atom. Number 2: calculated total energy -4.226 eV per atom. Number 3: calculated total energy -4.252 eV per atom. Number 4: calculated total energy -4.320 eV per atom. Number 5: calculated total energy -4.313 eV per atom. Number 6: calculated total energy -2.223 eV per atom. Number 7: calculated total energy -2.810 eV per atom. Number 8: calculated total energy -2.735 eV per atom.